Run one
Computed, not measured: an optimized crystal structure of Ce3Cd3In2 at the PBE-GGA level of DFT.

Lattice parameters (Å, degrees): 4.695 7.454 7.454 120.00 90.00 90.00
Site moments in Bohr magnetons follow the coordinates.
Element x y z (fractional)
Cd 0.000 0.770 0.770  0.02
Cd 0.000 0.000 0.230  0.02
Cd 0.000 0.230 0.000  0.02
In 0.000 0.333 0.667  -0.01
In 0.000 0.667 0.333  -0.01
Ce 0.500 0.395 0.395  0.89
Ce 0.500 0.000 0.605  0.89
Ce 0.500 0.605 0.000  0.89

---

Run two
Computed, not measured: an optimized crystal structure of Ce3Cd3In2 at the PBE-GGA level of DFT.

Lattice parameters (Å, degrees): 4.865 4.882 9.407 105.05 104.98 90.00
Site moments in Bohr magnetons follow the coordinates.
Element x y z (fractional)
Ce 0.874 0.374 0.748  0.87
Ce 0.000 0.000 0.000  1.05
Ce 0.126 0.626 0.252  0.87
Cd 0.500 0.500 0.000  0.00
Cd 0.365 0.865 0.731  0.00
Cd 0.635 0.135 0.269  0.00
In 0.752 0.752 0.505  -0.01
In 0.248 0.248 0.495  -0.01

---

Which structure is the most stable? The one labeled run two.

---

Run one
Computed, not measured: an optimized crystal structure of CeCdInPb at the PBE-GGA level of DFT.

Lattice parameters (Å, degrees): 4.600 4.740 4.911 90.00 90.00 90.00
Site moments in Bohr magnetons follow the coordinates.
Element x y z (fractional)
Ce 0.000 0.500 0.500  0.75
Cd 0.000 0.000 0.000  0.01
In 0.500 0.500 0.000  0.01
Pb 0.500 0.000 0.500  0.00

---

Run two
Computed, not measured: an optimized crystal structure of CeCdInPb at the PBE-GGA level of DFT.

Lattice parameters (Å, degrees): 5.356 5.356 5.356 60.00 60.00 60.00
Site moments in Bohr magnetons follow the coordinates.
Element x y z (fractional)
Ce 0.250 0.250 0.250  0.76
Cd 0.750 0.750 0.750  -0.01
Pb 0.000 0.000 0.000  0.00
In 0.500 0.500 0.500  0.00

---

Which structure is the most stable? The one labeled run one.

---

Run one
Computed, not measured: an optimized crystal structure of SrCeCdIn at the PBE-GGA level of DFT.

Lattice parameters (Å, degrees): 3.882 3.882 8.224 90.00 90.00 90.00
Site moments in Bohr magnetons follow the coordinates.
Element x y z (fractional)
Sr 0.000 0.000 0.855  0.00
In 0.500 0.500 0.124  0.00
Cd 0.500 0.500 0.591  0.02
Ce 0.000 0.000 0.358  0.97

---

Run two
Computed, not measured: an optimized crystal structure of SrCeCdIn at the PBE-GGA level of DFT.

Lattice parameters (Å, degrees): 5.600 5.600 5.600 60.00 60.00 60.00
Site moments in Bohr magnetons follow the coordinates.
Element x y z (fractional)
In 0.250 0.250 0.250  -0.01
Ce 0.000 0.000 0.000  0.94
Sr 0.500 0.500 0.500  0.01
Cd 0.750 0.750 0.750  0.01

---

Which structure is the most stable? The one labeled run one.

---

Run one
Computed, not measured: an optimized crystal structure of CeThCdIn at the PBE-GGA level of DFT.

Lattice parameters (Å, degrees): 5.447 5.447 5.447 60.00 60.00 60.00
Site moments in Bohr magnetons follow the coordinates.
Element x y z (fractional)
In 0.000 0.000 0.000  0.00
Th 0.250 0.250 0.250  0.05
Cd 0.500 0.500 0.500  0.00
Ce 0.750 0.750 0.750  0.76

---

Run two
Computed, not measured: an optimized crystal structure of CeThCdIn at the PBE-GGA level of DFT.

Lattice parameters (Å, degrees): 3.287 6.227 5.845 90.00 90.00 105.30
Site moments in Bohr magnetons follow the coordinates.
Element x y z (fractional)
Cd 0.205 0.411 0.000  0.00
In 0.942 0.883 0.000  0.01
Ce 0.063 0.126 0.500  0.74
Th 0.802 0.604 0.500  0.14

---

Which structure is the most stable? The one labeled run one.

---

Run one
Computed, not measured: an optimized crystal structure of Ce4CdIr at the PBE-GGA level of DFT.

Lattice parameters (Å, degrees): 5.800 8.990 7.547 117.87 100.70 109.47
Site moments in Bohr magnetons follow the coordinates.
Element x y z (fractional)
Cd 0.347 0.597 0.194  0.00
Cd 0.653 0.403 0.806  0.00
Ce 0.979 0.842 0.223  0.42
Ce 0.242 0.324 0.385  0.34
Ce 0.743 0.380 0.223  0.42
Ce 0.758 0.676 0.615  0.34
Ce 0.257 0.620 0.777  0.42
Ce 0.643 0.061 0.385  0.34
Ce 0.021 0.158 0.777  0.42
Ce 0.357 0.939 0.615  0.34
Ir 0.254 0.004 0.007  -0.02
Ir 0.746 0.996 0.993  -0.02

---

Run two
Computed, not measured: an optimized crystal structure of Ce4CdIr at the PBE-GGA level of DFT.

Lattice parameters (Å, degrees): 9.746 9.746 9.746 60.00 60.00 60.00
Site moments in Bohr magnetons follow the coordinates.
Element x y z (fractional)
Ce 0.937 0.937 0.563  1.02
Ce 0.195 0.195 0.805  0.70
Ce 0.805 0.195 0.805  0.70
Ce 0.937 0.563 0.563  1.02
Ce 0.349 0.349 0.349  0.70
Ce 0.937 0.563 0.937  1.02
Ce 0.563 0.937 0.563  1.02
Ce 0.349 0.349 0.952  0.70
Ce 0.805 0.805 0.195  0.70
Ce 0.952 0.349 0.349  0.70
Ce 0.195 0.805 0.805  0.70
Ce 0.349 0.952 0.349  0.70
Ce 0.805 0.195 0.195  0.70
Ce 0.195 0.805 0.195  0.70
Ce 0.563 0.937 0.937  1.02
Ce 0.563 0.563 0.937  1.02
Cd 0.579 0.579 0.262  0.00
Cd 0.579 0.579 0.579  0.00
Cd 0.262 0.579 0.579  0.00
Cd 0.579 0.262 0.579  0.00
Ir 0.140 0.579 0.140  -0.04
Ir 0.140 0.140 0.579  -0.04
Ir 0.579 0.140 0.140  -0.04
Ir 0.140 0.140 0.140  -0.04

---

Which structure is the most stable? The one labeled run two.

---

Run one
Computed, not measured: an optimized crystal structure of La2CeCd at the PBE-GGA level of DFT.

Lattice parameters (Å, degrees): 3.650 3.650 9.239 90.00 90.00 90.00
Site moments in Bohr magnetons follow the coordinates.
Element x y z (fractional)
La 0.000 0.000 0.242  -0.01
La 0.000 0.000 0.758  -0.01
Ce 0.500 0.500 0.500  0.20
Cd 0.500 0.500 0.000  0.00

---

Run two
Computed, not measured: an optimized crystal structure of La2CeCd at the PBE-GGA level of DFT.

Lattice parameters (Å, degrees): 3.614 3.614 11.445 80.92 80.92 60.00
Site moments in Bohr magnetons follow the coordinates.
Element x y z (fractional)
La 0.081 0.081 0.758  0.01
La 0.253 0.253 0.241  0.01
Ce 0.500 0.500 0.501  0.65
Cd 0.667 0.667 0.000  0.00

---

Run three
Computed, not measured: an optimized crystal structure of La2CeCd at the PBE-GGA level of DFT.

Lattice parameters (Å, degrees): 3.623 5.791 5.791 90.00 90.00 90.00
Site moments in Bohr magnetons follow the coordinates.
Element x y z (fractional)
Cd 0.500 0.000 0.000  0.00
La 0.000 0.500 0.000  0.04
La 0.000 0.000 0.500  0.04
Ce 0.500 0.500 0.500  0.51

---

Which structure is the most stable? The one labeled run one.

---

Run one
Computed, not measured: an optimized crystal structure of LaCeCd2 at the PBE-GGA level of DFT.

Lattice parameters (Å, degrees): 3.873 3.873 7.820 90.00 90.00 90.00
Site moments in Bohr magnetons follow the coordinates.
Element x y z (fractional)
Cd 0.000 0.000 0.758  0.01
Cd 0.000 0.000 0.242  0.01
Ce 0.500 0.500 0.000  0.98
La 0.500 0.500 0.500  0.15

---

Run two
Computed, not measured: an optimized crystal structure of LaCeCd2 at the PBE-GGA level of DFT.

Lattice parameters (Å, degrees): 5.499 5.499 5.499 60.00 60.00 60.00
Site moments in Bohr magnetons follow the coordinates.
Element x y z (fractional)
Ce 0.000 0.000 0.000  1.05
La 0.500 0.500 0.500  0.20
Cd 0.750 0.750 0.750  0.02
Cd 0.250 0.250 0.250  0.02

---

Which structure is the most stable? The one labeled run one.

---

Run one
Computed, not measured: an optimized crystal structure of CeLu2Cd at the PBE-GGA level of DFT.

Lattice parameters (Å, degrees): 3.452 3.452 10.834 80.83 80.83 60.00
Site moments in Bohr magnetons follow the coordinates.
Element x y z (fractional)
Cd 0.000 0.000 0.000  0.00
Lu 0.745 0.745 0.764  -0.01
Lu 0.255 0.255 0.236  -0.01
Ce 0.500 0.500 0.500  -0.48

---

Run two
Computed, not measured: an optimized crystal structure of CeLu2Cd at the PBE-GGA level of DFT.

Lattice parameters (Å, degrees): 4.707 4.825 4.825 90.00 90.00 90.00
Site moments in Bohr magnetons follow the coordinates.
Element x y z (fractional)
Ce 0.500 0.500 0.500  0.90
Lu 0.000 0.500 0.000  0.22
Lu 0.000 0.000 0.500  0.22
Cd 0.500 0.000 0.000  0.00

---

Which structure is the most stable? The one labeled run one.

---

Run one
Computed, not measured: an optimized crystal structure of CeLuCd2 at the PBE-GGA level of DFT.

Lattice parameters (Å, degrees): 4.570 4.771 4.771 90.00 90.00 90.00
Site moments in Bohr magnetons follow the coordinates.
Element x y z (fractional)
Cd 0.000 0.000 0.500  -0.01
Cd 0.000 0.500 0.000  -0.01
Lu 0.500 0.500 0.500  -0.14
Ce 0.500 0.000 0.000  -0.84

---

Run two
Computed, not measured: an optimized crystal structure of CeLuCd2 at the PBE-GGA level of DFT.

Lattice parameters (Å, degrees): 3.390 3.390 8.892 90.00 90.00 90.00
Site moments in Bohr magnetons follow the coordinates.
Element x y z (fractional)
Cd 0.000 0.000 0.236  0.00
Cd 0.000 0.000 0.764  0.00
Ce 0.500 0.500 0.500  0.79
Lu 0.500 0.500 0.000  -0.01

---

Which structure is the most stable? The one labeled run two.

---

Run one
Computed, not measured: an optimized crystal structure of CeLuCd at the PBE-GGA level of DFT.

Lattice parameters (Å, degrees): 3.437 3.437 7.358 103.51 103.51 90.00
Site moments in Bohr magnetons follow the coordinates.
Element x y z (fractional)
Lu 0.011 0.011 0.023  -0.10
Ce 0.329 0.329 0.657  -0.76
Cd 0.660 0.660 0.320  0.00

---

Run two
Computed, not measured: an optimized crystal structure of CeLuCd at the PBE-GGA level of DFT.

Lattice parameters (Å, degrees): 3.046 5.382 5.382 120.00 90.00 90.00
Site moments in Bohr magnetons follow the coordinates.
Element x y z (fractional)
Ce 0.164 0.000 0.000  0.93
Lu 0.170 0.333 0.667  0.04
Cd 0.666 0.667 0.333  -0.01

---

Which structure is the most stable? The one labeled run one.

---

Run one
Computed, not measured: an optimized crystal structure of Ce2LuCd at the PBE-GGA level of DFT.

Lattice parameters (Å, degrees): 3.264 3.264 12.534 82.52 82.52 60.00
Site moments in Bohr magnetons follow the coordinates.
Element x y z (fractional)
Cd 0.000 0.000 0.000  0.00
Ce 0.911 0.911 0.267  0.58
Ce 0.089 0.089 0.733  0.58
Lu 0.500 0.500 0.500  0.01

---

Run two
Computed, not measured: an optimized crystal structure of Ce2LuCd at the PBE-GGA level of DFT.

Lattice parameters (Å, degrees): 5.451 5.451 5.451 60.00 60.00 60.00
Site moments in Bohr magnetons follow the coordinates.
Element x y z (fractional)
Lu 0.000 0.000 0.000  0.28
Ce 0.250 0.250 0.250  0.88
Ce 0.750 0.750 0.750  0.88
Cd 0.500 0.500 0.500  -0.01

---

Which structure is the most stable? The one labeled run two.

---

Run one
Computed, not measured: an optimized crystal structure of Ce2LuCd at the PBE-GGA level of DFT.

Lattice parameters (Å, degrees): 3.575 5.663 5.663 90.00 90.00 90.00
Site moments in Bohr magnetons follow the coordinates.
Element x y z (fractional)
Ce 0.000 0.000 0.500  0.79
Ce 0.000 0.500 0.000  0.79
Lu 0.500 0.500 0.500  0.13
Cd 0.500 0.000 0.000  0.00

---

Run two
Computed, not measured: an optimized crystal structure of Ce2LuCd at the PBE-GGA level of DFT.

Lattice parameters (Å, degrees): 3.300 3.300 10.203 90.00 90.00 90.00
Site moments in Bohr magnetons follow the coordinates.
Element x y z (fractional)
Ce 0.000 0.000 0.239  0.68
Ce 0.000 0.000 0.761  0.68
Lu 0.500 0.500 0.500  0.11
Cd 0.500 0.500 0.000  0.01

---

Which structure is the most stable? The one labeled run two.